(1)
Entry from Alexandria via LeMat-Bulk: crystalline OsSe2Cl at its relaxed geometry (PBE).

spin magnetization: 0.27 μB/f.u.
formation energy (no corrections): 0.04 eV per atom

a b c (Å): 3.385 7.083 7.083
angles (deg): 38.86 90.00 90.00
Each line ends with the local moment (μB).
Positions (direct):
Cl: 0.000 0.624 0.624  0.01
Os: 0.500 0.773 0.773  0.28
Se: 0.000 0.894 0.894  -0.01
Se: 0.500 0.209 0.209  -0.01

(2)
Entry from Alexandria via LeMat-Bulk: crystalline ZnAsRh2 at its relaxed geometry (PBE).

spin magnetization: 0.00 μB/f.u.
E: -5.499 eV per atom

a b c (Å): 3.105 3.096 6.749
angles (deg): 62.66 90.00 90.00
Positions (direct):
As: 0.500 0.750 0.750
Rh: 0.000 0.006 0.994
Rh: 0.000 0.494 0.506
Zn: 0.500 0.250 0.250

(3)
Entry from Alexandria via LeMat-Bulk: crystalline LiAc12Pb6 at its relaxed geometry (PBE).

spin magnetization: 0.00 μB/f.u.
E: -4.027 eV per atom

a b c (Å): 9.552 9.552 9.552
angles (deg): 99.81 99.81 99.81
Positions (direct):
Li: 0.000 0.000 0.000
Ac: 0.808 0.580 0.442
Ac: 0.442 0.808 0.580
Ac: 0.580 0.442 0.808
Ac: 0.192 0.420 0.558
Ac: 0.558 0.192 0.420
Ac: 0.420 0.558 0.192
Ac: 0.057 0.985 0.326
Ac: 0.015 0.674 0.943
Ac: 0.674 0.943 0.015
Ac: 0.943 0.015 0.674
Ac: 0.985 0.326 0.057
Ac: 0.326 0.057 0.985
Pb: 0.683 0.877 0.355
Pb: 0.645 0.317 0.123
Pb: 0.123 0.645 0.317
Pb: 0.317 0.123 0.645
Pb: 0.355 0.683 0.877
Pb: 0.877 0.355 0.683

(4)
Entry from Alexandria via LeMat-Bulk: crystalline Pr5Si2Pb at its relaxed geometry (PBE).

spin magnetization: 0.84 μB/f.u.
formation energy (no corrections): -0.58 eV per atom

a b c (Å): 8.003 8.003 9.298
angles (deg): 115.49 115.49 90.00
Each line ends with the local moment (μB).
Positions (direct):
Pr: 0.536 0.689 0.725  0.06
Pr: 0.811 0.964 0.275  0.06
Pr: 0.000 0.000 0.000  0.21
Pr: 0.500 0.500 0.000  0.21
Pr: 0.189 0.036 0.725  0.06
Pr: 0.689 0.189 0.725  0.06
Pr: 0.036 0.536 0.725  0.06
Pr: 0.311 0.811 0.275  0.06
Pr: 0.964 0.464 0.275  0.06
Pr: 0.464 0.311 0.275  0.06
Si: 0.119 0.381 0.000  -0.01
Si: 0.619 0.119 0.000  -0.01
Si: 0.381 0.881 0.000  -0.01
Si: 0.881 0.619 0.000  -0.01
Pb: 0.750 0.750 0.500  -0.01
Pb: 0.250 0.250 0.500  -0.01

(5)
Entry from Alexandria via LeMat-Bulk: crystalline LiVRe2S at its relaxed geometry (PBE).

spin magnetization: 2.84 μB/f.u.
formation energy (no corrections): 1.35 eV per atom

a b c (Å): 4.609 4.500 4.609
angles (deg): 90.00 90.00 90.00
Each line ends with the local moment (μB).
Positions (direct):
Re: 0.000 0.000 0.500  1.17
Re: 0.500 0.000 0.000  1.29
S: 0.000 0.500 0.000  0.08
Li: 0.500 0.500 0.500  0.00
V: 0.000 0.000 0.000  -0.21

(6)
Entry from Alexandria via LeMat-Bulk: crystalline AcTiZn2 at its relaxed geometry (PBE).

spin magnetization: 0.00 μB/f.u.
E: -3.691 eV per atom

a b c (Å): 3.481 3.481 7.238
angles (deg): 90.00 90.00 90.00
Positions (direct):
Ac: 0.500 0.500 0.500
Zn: 0.000 0.000 0.817
Zn: 0.000 0.000 0.183
Ti: 0.500 0.500 0.000

(7)
Entry from Alexandria via LeMat-Bulk: crystalline InGaN3 at its relaxed geometry (PBE).

spin magnetization: 5.00 μB/f.u.
formation energy (no corrections): 1.90 eV per atom

a b c (Å): 4.322 4.322 4.322
angles (deg): 90.00 90.00 90.00
Each line ends with the local moment (μB).
Positions (direct):
N: 0.000 0.500 0.000  1.24
N: 0.000 0.000 0.500  0.94
N: 0.500 0.000 0.000  1.21
Ga: 0.500 0.500 0.500  0.12
In: 0.000 0.000 0.000  0.04

(8)
Entry from Alexandria via LeMat-Bulk: crystalline AcSm5Zn4 at its relaxed geometry (PBE).

spin magnetization: 0.00 μB/f.u.
E: -3.525 eV per atom

a b c (Å): 3.679 3.679 19.936
angles (deg): 90.00 90.00 90.00
Positions (direct):
Ac: 0.000 0.000 0.000
Sm: 0.500 0.500 0.141
Sm: 0.500 0.500 0.320
Sm: 0.500 0.500 0.500
Sm: 0.500 0.500 0.680
Sm: 0.500 0.500 0.859
Zn: 0.000 0.000 0.229
Zn: 0.000 0.000 0.409
Zn: 0.000 0.000 0.591
Zn: 0.000 0.000 0.771

(9)
Entry from Alexandria via LeMat-Bulk: crystalline Ta2CuC at its relaxed geometry (PBE).

spin magnetization: 0.00 μB/f.u.
E: -8.998 eV per atom

a b c (Å): 6.332 6.332 5.292
angles (deg): 53.25 53.25 90.00
Positions (direct):
C: 0.500 0.500 0.000
C: 0.250 0.750 0.500
Cu: 0.000 0.000 0.000
Cu: 0.750 0.250 0.500
Ta: 0.573 0.125 0.250
Ta: 0.177 0.625 0.250
Ta: 0.375 0.427 0.750
Ta: 0.875 0.823 0.750

(10)
Entry from Alexandria via LeMat-Bulk: crystalline Nd4SmEr4 at its relaxed geometry (PBE).

spin magnetization: 0.00 μB/f.u.
E: -4.650 eV per atom

a b c (Å): 5.081 8.048 8.048
angles (deg): 84.28 71.60 71.60
Positions (direct):
Nd: 0.667 0.665 0.000
Nd: 0.333 0.335 0.000
Nd: 0.667 0.000 0.665
Nd: 0.333 0.000 0.335
Sm: 0.000 0.000 0.000
Er: 0.664 0.336 0.336
Er: 0.336 0.664 0.664
Er: 0.000 0.664 0.336
Er: 0.000 0.336 0.664

(11)
Entry from Alexandria via LeMat-Bulk: crystalline Ge2N2O at its relaxed geometry (PBE).

spin magnetization: 0.00 μB/f.u.
formation energy (no corrections): -0.51 eV per atom

a b c (Å): 5.677 5.677 5.957
angles (deg): 62.04 62.04 57.52
Positions (direct):
Ge: 0.378 0.545 0.636
Ge: 0.545 0.378 0.136
Ge: 0.717 0.862 0.626
Ge: 0.862 0.717 0.126
N: 0.487 0.253 0.501
N: 0.253 0.487 0.001
N: 0.689 0.651 0.486
N: 0.651 0.689 0.986
O: 0.083 0.835 0.501
O: 0.835 0.083 0.001

(12)
Entry from Alexandria via LeMat-Bulk: crystalline Pr2HfIn at its relaxed geometry (PBE).

spin magnetization: 0.00 μB/f.u.
E: -5.289 eV per atom

a b c (Å): 3.326 3.326 12.279
angles (deg): 82.22 82.22 60.00
Positions (direct):
Pr: 0.088 0.088 0.736
Pr: 0.912 0.912 0.264
Hf: 0.000 0.000 0.000
In: 0.500 0.500 0.500

(13)
Entry from Alexandria via LeMat-Bulk: crystalline CaSi2Rh at its relaxed geometry (PBE).

spin magnetization: 0.00 μB/f.u.
formation energy (no corrections): -0.08 eV per atom

a b c (Å): 5.017 5.017 5.017
angles (deg): 132.28 132.28 69.78
Positions (direct):
Ca: 0.500 0.500 0.000
Rh: 0.750 0.250 0.500
Si: 0.000 0.000 0.000
Si: 0.250 0.750 0.500

(14)
Entry from Alexandria via LeMat-Bulk: crystalline Pm4Nd6Tm at its relaxed geometry (PBE).

spin magnetization: 0.00 μB/f.u.
E: -4.456 eV per atom

a b c (Å): 6.771 6.771 9.787
angles (deg): 110.24 110.24 90.00
Positions (direct):
Pm: 0.052 0.701 0.753
Pm: 0.948 0.948 0.247
Pm: 0.701 0.052 0.753
Pm: 0.299 0.299 0.247
Nd: 0.866 0.487 0.353
Nd: 0.487 0.866 0.353
Nd: 0.513 0.513 0.647
Nd: 0.000 0.500 0.000
Nd: 0.134 0.134 0.647
Nd: 0.500 0.000 0.000
Tm: 0.500 0.500 0.000

(15)
Entry from Alexandria via LeMat-Bulk: crystalline Pm3AlSi3 at its relaxed geometry (PBE).

spin magnetization: 0.00 μB/f.u.
formation energy (no corrections): -0.71 eV per atom

a b c (Å): 3.993 4.371 9.628
angles (deg): 103.12 101.97 90.00
Positions (direct):
Pm: 0.313 0.813 0.627
Pm: 0.683 0.183 0.366
Pm: 0.004 0.004 0.009
Al: 0.433 0.433 0.867
Si: 0.145 0.645 0.290
Si: 0.854 0.354 0.707
Si: 0.567 0.567 0.134

(16)
Entry from Alexandria via LeMat-Bulk: crystalline KLaTl at its relaxed geometry (PBE).

spin magnetization: 0.24 μB/f.u.
E: -2.703 eV per atom

a b c (Å): 5.864 5.864 3.296
angles (deg): 90.00 90.00 120.00
Each line ends with the local moment (μB).
Positions (direct):
K: 0.000 0.000 0.160  0.00
La: 0.667 0.333 0.172  0.14
Tl: 0.333 0.667 0.668  0.00

(17)
Entry from Alexandria via LeMat-Bulk: crystalline TlSn2Bi at its relaxed geometry (PBE).

spin magnetization: 0.00 μB/f.u.
E: -3.507 eV per atom

a b c (Å): 4.100 4.100 7.369
angles (deg): 90.00 90.00 90.00
Positions (direct):
Tl: 0.500 0.500 0.500
Bi: 0.500 0.500 0.000
Sn: 0.000 0.000 0.782
Sn: 0.000 0.000 0.218

(18)
Entry from Alexandria via LeMat-Bulk: crystalline Mn2Pd9Pt at its relaxed geometry (PBE).

spin magnetization: 9.86 μB/f.u.
E: -6.089 eV per atom

a b c (Å): 3.920 3.920 11.877
angles (deg): 90.00 90.00 90.00
Each line ends with the local moment (μB).
Positions (direct):
Mn: 0.000 0.000 0.335  3.92
Mn: 0.000 0.000 0.665  3.92
Pd: 0.500 0.500 0.000  0.10
Pd: 0.500 0.500 0.335  0.23
Pd: 0.500 0.500 0.665  0.23
Pd: 0.500 0.000 0.170  0.18
Pd: 0.500 0.000 0.500  0.21
Pd: 0.500 0.000 0.830  0.18
Pd: 0.000 0.500 0.170  0.18
Pd: 0.000 0.500 0.500  0.21
Pd: 0.000 0.500 0.830  0.18
Pt: 0.000 0.000 0.000  0.11

(19)
Entry from Alexandria via LeMat-Bulk: crystalline LaIrW at its relaxed geometry (PBE).

spin magnetization: 0.00 μB/f.u.
E: -8.865 eV per atom

a b c (Å): 6.624 6.624 6.624
angles (deg): 152.26 152.24 39.65
Positions (direct):
Ir: 0.031 0.031 0.000
La: 0.333 0.333 0.000
W: 0.636 0.636 0.000

(20)
Entry from Alexandria via LeMat-Bulk: crystalline Mg2Cu3Ir at its relaxed geometry (PBE).

spin magnetization: 0.00 μB/f.u.
E: -4.277 eV per atom

a b c (Å): 4.867 4.867 5.179
angles (deg): 90.32 117.79 119.87
Positions (direct):
Mg: 0.744 0.372 0.116
Mg: 0.256 0.628 0.884
Cu: 0.500 0.500 0.500
Cu: 0.000 0.000 0.500
Cu: 0.500 0.000 0.500
Ir: 0.000 0.000 0.000